A plane-wave DFT calculation with PBE was carried out for a geometry-optimized SrLaW2 structure.

Geometry as CIF:
```
data_SrLaW2
_chemical_formula_sum 'Sr1 La1 W2'
_space_group_name_H-M_alt 'P 1'
_space_group_IT_number 1
_cell_length_a 3.1239
_cell_length_b 3.1239
_cell_length_c 10.9024
_cell_angle_alpha 90.00
_cell_angle_beta 90.00
_cell_angle_gamma 112.54
loop_
_space_group_symop_operation_xyz
'x,y,z'
loop_
_atom_site_label
_atom_site_type_symbol
_atom_site_fract_x
_atom_site_fract_y
_atom_site_fract_z
La1 La 0.0000 0.0000 0.4505
Sr1 Sr 0.5000 0.5000 0.7931
W1 W 0.0000 0.0000 0.0429
W2 W 0.5000 0.5000 0.2135
```

Calculated values
Space group: Cmm2 (35)
Total moment, μB/cell: 0.0
Density, g cm⁻³: 10.04
Excess energy over the best structure of this formula in the dataset, kJ per mole of atoms: 24.9
E_form, meV/atom: 795